(1)
DFT (PBE-GGA) results for a relaxed structure of RbZn2C. Values from VASP.

Cell and atoms, written as Quantum ESPRESSO input:
```
&SYSTEM
  ibrav = 0, nat = 16, ntyp = 3
/
ATOMIC_SPECIES
Rb 85.47 Rb.upf
Zn 65.41 Zn.upf
C 12.01 C.upf
CELL_PARAMETERS angstrom
6.4215 0.0000 0.0000
0.0000 6.4215 0.0000
0.0000 0.0000 9.2217
ATOMIC_POSITIONS crystal
Rb 0.0000 0.2500 0.3750
Rb 0.0000 0.7500 0.6250
Rb 0.5000 0.2500 0.1250
Rb 0.5000 0.7500 0.8750
Zn 0.0000 0.0000 0.0000
Zn 0.0000 0.5000 0.0000
Zn 0.2500 0.2500 0.7500
Zn 0.2500 0.7500 0.2500
Zn 0.5000 0.0000 0.5000
Zn 0.5000 0.5000 0.5000
Zn 0.7500 0.2500 0.7500
Zn 0.7500 0.7500 0.2500
C 0.0000 0.2500 0.8750
C 0.0000 0.7500 0.1250
C 0.5000 0.2500 0.6250
C 0.5000 0.7500 0.3750
```

Output
Size of the total moment (μB/cell): 3.2
DFT total energy (eV for the cell shown): -42.39
Energy relative to the elements (eV per atom): 0.54
Space group: I4_1/amd
Energy above the most stable polymorph in this dataset (meV per atom): 0

***

(2)
DFT (PBE-GGA) results for a relaxed structure of Ga2CuTe4Au. Values from VASP.

Cell and atoms, written as Quantum ESPRESSO input:
```
&SYSTEM
  ibrav = 0, nat = 16, ntyp = 4
/
ATOMIC_SPECIES
Ga 69.72 Ga.upf
Cu 63.55 Cu.upf
Te 127.60 Te.upf
Au 196.97 Au.upf
CELL_PARAMETERS angstrom
6.1938 0.0000 0.0000
0.0000 6.1938 0.0000
0.0000 0.0000 12.4066
ATOMIC_POSITIONS crystal
Ga 0.0000 0.5000 0.2500
Ga 0.0000 0.5000 0.7500
Ga 0.5000 0.0000 0.2500
Ga 0.5000 0.0000 0.7500
Cu 0.0000 0.0000 0.0000
Cu 0.5000 0.5000 0.5000
Te 0.2388 0.2388 0.1218
Te 0.2388 0.7612 0.8782
Te 0.2612 0.2612 0.6218
Te 0.2612 0.7388 0.3782
Te 0.7388 0.2612 0.3782
Te 0.7388 0.7388 0.6218
Te 0.7612 0.2388 0.8782
Te 0.7612 0.7612 0.1218
Au 0.0000 0.0000 0.5000
Au 0.5000 0.5000 0.0000
```

Output
Size of the total moment (μB/cell): 0.0
DFT total energy (eV for the cell shown): -55.98
Formation energy (no corrections) (eV/atom): -0.25
Space group: I-42m

***

(3)
DFT (PBE-GGA) results for a relaxed structure of Tl2AgAuCl6. Values from VASP.

Cell and atoms, written as Quantum ESPRESSO input:
```
&SYSTEM
  ibrav = 0, nat = 10, ntyp = 4
/
ATOMIC_SPECIES
Tl 204.38 Tl.upf
Ag 107.87 Ag.upf
Au 196.97 Au.upf
Cl 35.45 Cl.upf
CELL_PARAMETERS angstrom
-3.6139 3.6139 5.5589
3.6139 -3.6139 5.5589
3.6139 3.6139 -5.5589
ATOMIC_POSITIONS crystal
Tl 0.2500 0.7500 0.5000
Tl 0.7500 0.2500 0.5000
Ag 0.0000 0.0000 0.0000
Au 0.5000 0.5000 0.0000
Cl 0.2179 0.2179 0.0000
Cl 0.2691 0.2691 0.5382
Cl 0.2691 0.7309 0.0000
Cl 0.7309 0.2691 0.0000
Cl 0.7309 0.7309 0.4618
Cl 0.7821 0.7821 0.0000
```

Output
Size of the total moment (μB/cell): 0.0
DFT total energy (eV for the cell shown): -28.21
Formation energy (no corrections) (eV/atom): -0.63
Space group: I4/mmm

***

(4)
DFT (PBE-GGA) results for a relaxed structure of Ba6Zn2Pt. Values from VASP.

Cell and atoms, written as Quantum ESPRESSO input:
```
&SYSTEM
  ibrav = 0, nat = 18, ntyp = 3
/
ATOMIC_SPECIES
Ba 137.33 Ba.upf
Zn 65.41 Zn.upf
Pt 195.08 Pt.upf
CELL_PARAMETERS angstrom
7.9377 0.0000 0.0000
0.0000 8.8492 0.0000
-7.7290 0.0000 11.9174
ATOMIC_POSITIONS crystal
Ba 0.1008 0.0378 0.2444
Ba 0.1008 0.4622 0.7444
Ba 0.2360 0.6895 0.0699
Ba 0.2360 0.8105 0.5699
Ba 0.3895 0.1745 0.0657
Ba 0.3895 0.3255 0.5657
Ba 0.6105 0.6745 0.4343
Ba 0.6105 0.8255 0.9343
Ba 0.7640 0.1895 0.4301
Ba 0.7640 0.3105 0.9301
Ba 0.8992 0.5378 0.2556
Ba 0.8992 0.9622 0.7556
Zn 0.3079 0.1154 0.7533
Zn 0.3079 0.3846 0.2533
Zn 0.6921 0.6154 0.7467
Zn 0.6921 0.8846 0.2467
Pt 0.0000 0.0000 0.0000
Pt 0.0000 0.5000 0.5000
```

Output
Size of the total moment (μB/cell): 0.4
DFT total energy (eV for the cell shown): -45.13
Energy relative to the elements (eV per atom): -0.27
Space group: P2_1/c

***

(5)
DFT (PBE-GGA) results for a relaxed structure of CuS2ICl. Values from VASP.

Cell and atoms, written as Quantum ESPRESSO input:
```
&SYSTEM
  ibrav = 0, nat = 5, ntyp = 4
/
ATOMIC_SPECIES
Cu 63.55 Cu.upf
S 32.06 S.upf
I 126.90 I.upf
Cl 35.45 Cl.upf
CELL_PARAMETERS angstrom
5.1185 0.0000 0.0000
0.0000 5.1185 0.0000
0.0000 0.0000 5.3625
ATOMIC_POSITIONS crystal
Cu 0.0000 0.0000 0.0000
S 0.0000 0.5000 0.5000
S 0.5000 0.0000 0.5000
I 0.5000 0.5000 0.5000
Cl 0.5000 0.5000 0.0000
```

Output
Size of the total moment (μB/cell): 0.0
DFT total energy (eV for the cell shown): -11.08
Formation energy (no corrections) (eV/atom): 0.93
Space group: P4/mmm
Energy above the most stable polymorph in this dataset (meV per atom): 523

***

(6)
DFT (PBE-GGA) results for a relaxed structure of Sr2BBr. Values from VASP.

Cell and atoms, written as Quantum ESPRESSO input:
```
&SYSTEM
  ibrav = 0, nat = 16, ntyp = 3
/
ATOMIC_SPECIES
Sr 87.62 Sr.upf
B 10.81 B.upf
Br 79.90 Br.upf
CELL_PARAMETERS angstrom
7.7557 0.0000 0.0000
0.0000 7.7557 0.0000
0.0000 0.0000 8.9184
ATOMIC_POSITIONS crystal
Sr 0.2044 0.2500 0.1250
Sr 0.2500 0.7044 0.3750
Sr 0.2500 0.7956 0.8750
Sr 0.2956 0.2500 0.6250
Sr 0.7044 0.7500 0.6250
Sr 0.7500 0.2044 0.8750
Sr 0.7500 0.2956 0.3750
Sr 0.7956 0.7500 0.1250
B 0.0000 0.0000 0.0000
B 0.0000 0.5000 0.2500
B 0.5000 0.0000 0.7500
B 0.5000 0.5000 0.5000
Br 0.0000 0.0000 0.5000
Br 0.0000 0.5000 0.7500
Br 0.5000 0.0000 0.2500
Br 0.5000 0.5000 0.0000
```

Output
Size of the total moment (μB/cell): 8.0
DFT total energy (eV for the cell shown): -49.89
Formation energy (no corrections) (eV/atom): -0.19
Space group: I-42d
Energy above the most stable polymorph in this dataset (meV per atom): 0